LiAs2Pd2 | PBE | relaxed

The structure belongs to space group I4/mmm (No. 139); the cell edges are 4.671, 4.671 and 9.000 Å and the angles 90.00°, 90.00° and 90.00°. The inequivalent atoms are Li at (0.000, 0.000, 0.000), As at (0.000, 0.500, 0.250) and Pd at (0.000, 0.000, 0.354).

The energy of formation from the pure elements comes out at -0.25 eV per atom. For the theoretical density, the calculation gives 6.250 g/cm³. The total energy is -45.71 eV per cell. Its energy above the most stable polymorph in this dataset is 162 meV per atom. The calculation puts the density of states at the Fermi level at 3.2 states/eV/f.u.

Ce4AlIn | PBE | relaxed

The structure belongs to space group C2/c (No. 15); the cell edges are 9.154, 12.944 and 5.560 Å and the angles 90.00°, 110.93° and 90.00°. The inequivalent atoms are Ce at (0.140, 0.197, 0.129), Ce at (0.215, 0.388, 0.372), Al at (0.000, 0.011, 0.750) and In at (0.000, 0.397, 0.750).

The energy of formation from the pure elements comes out at -0.20 eV per atom. For the theoretical density, the calculation gives 7.581 g/cm³. The total energy is -125.73 eV per cell. Its energy above the most stable polymorph in this dataset is 10 meV per atom. The calculation puts the density of states at the Fermi level at 13.7 states/eV/f.u.

KSrLi2 | PBE | relaxed

The structure belongs to space group Fm-3m (No. 225); the cell edges are 8.703, 8.703 and 8.703 Å and the angles 90.00°, 90.00° and 90.00°. The inequivalent atoms are K at (0.000, 0.000, 0.000), Sr at (0.000, 0.000, 0.500) and Li at (0.250, 0.250, 0.250).

The energy of formation from the pure elements comes out at 0.15 eV per atom. For the theoretical density, the calculation gives 1.417 g/cm³. The total energy is -23.96 eV per cell. Its energy above the most stable polymorph in this dataset is 48 meV per atom. The calculation puts the density of states at the Fermi level at 3.0 states/eV/f.u.

Pu2GeHPd6 | PBE | relaxed

The structure belongs to space group P-1 (No. 2); the cell edges are 5.711, 5.718 and 6.874 Å and the angles 114.42°, 90.08° and 119.89°. The inequivalent atoms are Pu at (0.218, 0.437, 0.155), Ge at (0.500, 0.000, 0.000), H at (0.000, 0.000, 0.500), Pd at (0.229, 0.459, 0.687), Pd at (0.229, 0.959, 0.688) and Pd at (0.271, 0.041, 0.312).

For the theoretical density, the calculation gives 11.656 g/cm³. The total energy is -72.56 eV per cell. The calculation puts the density of states at the Fermi level at 28.3 states/eV/f.u.

SrEuSeS | PBE | relaxed

The structure belongs to space group R3m (No. 160, hexagonal axes); the cell edges are 4.3099, 4.3099 and 21.1786 Å and the angles 90.00°, 90.00° and 120.00°. The inequivalent atoms are Sr at (0.0000, 0.0000, 0.0000), Eu at (0.0000, 0.0000, 0.4938), Se at (0.0000, 0.0000, 0.2450) and S at (0.0000, 0.0000, 0.7492).

For the theoretical density, the calculation gives 5.127 g/cm³. The calculation puts the uncorrected formation energy at -2.083 eV per atom. The total energy is -83.71 eV per cell. The calculation puts the density of states at the Fermi level at 12.3 states/eV/f.u.

Pm4Sm4Dy5 | PBE | relaxed

The structure belongs to space group I4/m (No. 87); the cell edges are 13.010, 13.010 and 5.075 Å and the angles 90.00°, 90.00° and 90.00°. The inequivalent atoms are Pm at (0.078, 0.384, 0.000), Sm at (0.153, 0.771, 0.000), Dy at (0.000, 0.000, 0.000) and Dy at (0.038, 0.190, 0.500).

The energy of formation from the pure elements comes out at 0.01 eV per atom. For the theoretical density, the calculation gives 7.709 g/cm³. The total energy is -121.40 eV per cell. The calculation puts the density of states at the Fermi level at 17.7 states/eV/f.u.

ScSnBr3 | PBE | relaxed

The structure belongs to space group Pm-3m (No. 221); the cell edges are 5.761, 5.761 and 5.761 Å and the angles 90.00°, 90.00° and 90.00°. The inequivalent atoms are Sc at (0.000, 0.000, 0.000), Sn at (0.500, 0.500, 0.500) and Br at (0.000, 0.500, 0.500).

For the theoretical density, the calculation gives 3.503 g/cm³. The calculation puts the uncorrected formation energy at -0.158 eV per atom. The total energy is -16.14 eV per cell. Its energy above the most stable polymorph in this dataset is 591 meV per atom. The calculation puts the density of states at the Fermi level at 12.5 states/eV/f.u.

TcOsIO2 | PBE | relaxed

The structure belongs to space group P4/mmm (No. 123); the cell edges are 3.784, 3.784 and 6.187 Å and the angles 90.00°, 90.00° and 90.00°. The inequivalent atoms are Tc at (0.000, 0.000, 0.000), Os at (0.500, 0.500, 0.500), I at (0.000, 0.000, 0.500) and O at (0.000, 0.500, 0.000).

For the theoretical density, the calculation gives 8.382 g/cm³. The calculation puts the uncorrected formation energy at 0.302 eV per atom. The total energy is -31.55 eV per cell. Its energy above the most stable polymorph in this dataset is 40 meV per atom. The calculation puts the density of states at the Fermi level at 2.9 states/eV/f.u.

CoOsRh2 | PBE | relaxed

The structure belongs to space group R3m (No. 160, hexagonal axes); the cell edges are 2.6995, 2.6995 and 25.8675 Å and the angles 90.00°, 90.00° and 120.00°. The inequivalent atoms are Co at (0.0000, 0.0000, 0.0000), Os at (0.0000, 0.0000, 0.7470), Rh at (0.0000, 0.0000, 0.2532) and Rh at (0.0000, 0.0000, 0.4981).

The energy of formation from the pure elements comes out at 0.12 eV per atom. For the theoretical density, the calculation gives 13.884 g/cm³. The total energy is -97.73 eV per cell. Its energy above the most stable polymorph in this dataset is 36 meV per atom. The calculation puts the density of states at the Fermi level at 6.3 states/eV/f.u.

Y6In3H | PBE | relaxed

The structure belongs to space group Cmc2_1 (No. 36); the cell edges are 11.537, 16.808 and 5.344 Å and the angles 90.00°, 90.00° and 90.00°. The inequivalent atoms are Y at (0.000, 0.085, 0.000), Y at (0.000, 0.237, 0.486), Y at (0.170, 0.419, 0.501), Y at (0.176, 0.274, 0.998), In at (0.000, 0.421, 0.001), In at (0.157, 0.077, 0.501) and H at (0.000, 0.217, 0.055).

For the theoretical density, the calculation gives 5.633 g/cm³. The total energy is -217.71 eV per cell. The calculation puts the density of states at the Fermi level at 7.6 states/eV/f.u.

ScGa2I5 | PBE | relaxed

The structure belongs to space group Cc (No. 9); the cell edges are 15.326, 8.036 and 11.201 Å and the angles 90.00°, 112.47° and 90.00°. The inequivalent atoms are Sc at (0.000, 0.000, 0.000), Ga at (0.109, 0.479, 0.210), Ga at (0.392, 0.021, 0.791), I at (0.000, 0.140, 0.750), I at (0.093, 0.298, 0.467), I at (0.180, 0.155, 0.133), I at (0.320, 0.345, 0.867) and I at (0.407, 0.202, 0.534).

For the theoretical density, the calculation gives 4.267 g/cm³. The calculation puts the uncorrected formation energy at -0.764 eV per atom. The total energy is -104.98 eV per cell.

InTc2SbI | PBE | relaxed

The structure belongs to space group P4/mmm (No. 123); the cell edges are 4.948, 4.948 and 5.959 Å and the angles 90.00°, 90.00° and 90.00°. The inequivalent atoms are In at (0.000, 0.000, 0.000), Tc at (0.000, 0.500, 0.500), Sb at (0.500, 0.500, 0.000) and I at (0.500, 0.500, 0.500).

For the theoretical density, the calculation gives 6.367 g/cm³. The calculation puts the uncorrected formation energy at 1.729 eV per atom. The total energy is -20.50 eV per cell. Its energy above the most stable polymorph in this dataset is 0 meV per atom. The calculation puts the density of states at the Fermi level at 4.2 states/eV/f.u.

KBI2N | PBE | relaxed

The structure belongs to space group P4/mmm (No. 123); the cell edges are 6.514, 6.514 and 5.214 Å and the angles 90.00°, 90.00° and 90.00°. The inequivalent atoms are K at (0.000, 0.000, 0.000), B at (0.500, 0.500, 0.500), I at (0.000, 0.500, 0.000) and N at (0.000, 0.000, 0.500).

For the theoretical density, the calculation gives 2.385 g/cm³. The calculation puts the uncorrected formation energy at 1.672 eV per atom. The total energy is -10.84 eV per cell. Its energy above the most stable polymorph in this dataset is 1935 meV per atom. The calculation puts the density of states at the Fermi level at 0.9 states/eV/f.u.

CsNa2CdF | PBE | relaxed

The structure belongs to space group P4/mmm (No. 123); the cell edges are 5.110, 5.110 and 6.003 Å and the angles 90.00°, 90.00° and 90.00°. The inequivalent atoms are Cs at (0.000, 0.000, 0.000), Na at (0.000, 0.500, 0.500), Cd at (0.500, 0.500, 0.000) and F at (0.000, 0.000, 0.500).

For the theoretical density, the calculation gives 3.287 g/cm³. The calculation puts the uncorrected formation energy at -0.920 eV per atom. The total energy is -10.88 eV per cell. The calculation puts the density of states at the Fermi level at 2.8 states/eV/f.u.

PmNbIr | PBE | relaxed

The structure belongs to space group Pmmm (No. 47); the cell edges are 3.393, 4.015 and 5.249 Å and the angles 90.00°, 90.00° and 90.00°. The inequivalent atoms are Pm at (0.000, 0.000, 0.000), Nb at (0.000, 0.500, 0.500) and Ir at (0.500, 0.000, 0.500).

The energy of formation from the pure elements comes out at -0.09 eV per atom. For the theoretical density, the calculation gives 9.988 g/cm³. The total energy is -23.97 eV per cell. The calculation puts the density of states at the Fermi level at 2.7 states/eV/f.u.

LaP2Os | PBE | relaxed

The structure belongs to space group I-4m2 (No. 119); the cell edges are 3.979, 3.979 and 9.484 Å and the angles 90.00°, 90.00° and 90.00°. The inequivalent atoms are La at (0.000, 0.000, 0.000), P at (0.000, 0.000, 0.500), P at (0.000, 0.500, 0.250) and Os at (0.000, 0.500, 0.750).

The energy of formation from the pure elements comes out at 0.18 eV per atom. For the theoretical density, the calculation gives 8.650 g/cm³. The total energy is -52.50 eV per cell. Its energy above the most stable polymorph in this dataset is 1058 meV per atom. The calculation puts the density of states at the Fermi level at 3.3 states/eV/f.u.

In2P | PBE | relaxed

The structure belongs to space group P6_3/mmc (No. 194); the cell edges are 3.9411, 3.9411 and 10.9105 Å and the angles 90.00°, 90.00° and 120.00°. The inequivalent atoms are In at (0.3333, 0.6667, 0.1038) and P at (0.0000, 0.0000, 0.2500).

The energy of formation from the pure elements comes out at 0.01 eV per atom. For the theoretical density, the calculation gives 5.897 g/cm³. The total energy is -21.74 eV per cell. Its energy above the most stable polymorph in this dataset is 39 meV per atom. The calculation puts the density of states at the Fermi level at 1.7 states/eV/f.u.

BeP2Rh | PBE | relaxed

The structure belongs to space group F-43m (No. 216); the cell edges are 5.862, 5.862 and 5.862 Å and the angles 90.00°, 90.00° and 90.00°. The inequivalent atoms are Be at (0.000, 0.000, 0.000), P at (0.000, 0.000, 0.500), P at (0.250, 0.250, 0.250) and Rh at (0.250, 0.250, 0.750).

The energy of formation from the pure elements comes out at 0.28 eV per atom. For the theoretical density, the calculation gives 5.732 g/cm³. The total energy is -83.09 eV per cell. The calculation puts the density of states at the Fermi level at 2.7 states/eV/f.u.

DyScPdPt | PBE | relaxed

The structure belongs to space group F-43m (No. 216); the cell edges are 6.817, 6.817 and 6.817 Å and the angles 90.00°, 90.00° and 90.00°. The inequivalent atoms are Dy at (0.000, 0.000, 0.000), Sc at (0.000, 0.000, 0.500), Pd at (0.250, 0.250, 0.250) and Pt at (0.250, 0.250, 0.750).

The energy of formation from the pure elements comes out at -1.05 eV per atom. For the theoretical density, the calculation gives 10.673 g/cm³. The total energy is -105.43 eV per cell. Its energy above the most stable polymorph in this dataset is 7 meV per atom. The calculation puts the density of states at the Fermi level at 3.5 states/eV/f.u.

Co2W | PBE | relaxed

The structure belongs to space group Fd-3m (No. 227, origin choice 2); the cell edges are 6.614, 6.614 and 6.614 Å and the angles 90.00°, 90.00° and 90.00°. The inequivalent atoms are Co at (0.000, 0.000, 0.000) and W at (0.125, 0.125, 0.625).

The energy of formation from the pure elements comes out at 0.02 eV per atom. For the theoretical density, the calculation gives 13.851 g/cm³. The total energy is -216.90 eV per cell. The calculation puts the density of states at the Fermi level at 5.2 states/eV/f.u.